1.
First-principles (PBEsol) data for an optimized crystal structure of TcMoPd2, as listed in the Alexandria database.

Unit cell a=4.3715 b=4.3715 c=4.3715 alpha=60.00 beta=60.00 gamma=60.00
Last column: nearest neighbours and their distance in Å.
Fractional positions:
Tc1 0.0000 0.0000 0.0000  8 Pd 2.68
Mo1 0.5000 0.5000 0.5000  8 Pd 2.68
Pd1 0.2500 0.2500 0.2500  4 Mo 2.68, 4 Tc 2.68
Pd2 0.7500 0.7500 0.7500  4 Mo 2.68, 4 Tc 2.68

## Properties
The calculation puts the calculated volume at 14.8 Å³/atom. The symmetry is Fm-3m. Its density of states at the Fermi level is 7.2 states/eV per cell. The calculation puts the total magnetic moment at 0.0 μB/f.u. Its total DFT energy (no corrections) is -8.257 eV/atom. For the formation energy, the calculation gives 481 meV/atom.



2.
First-principles (PBEsol) data for an optimized crystal structure of Te2MoPd, as listed in the Alexandria database.

Unit cell a=9.0145 b=9.0145 c=9.0145 alpha=21.58 beta=21.58 gamma=21.58
Last column: nearest neighbours and their distance in Å.
Fractional positions:
Te1 0.0957 0.0957 0.0957  1 Pd 2.53, 3 Mo 2.70
Te2 0.9043 0.9043 0.9043  1 Pd 2.53, 3 Mo 2.70
Mo1 0.5000 0.5000 0.5000  6 Te 2.70
Pd1 0.0000 0.0000 0.0000  2 Te 2.53

## Properties
The calculation puts the calculated volume at 21.7 Å³/atom. As for the uncorrected formation energy: 0.064 eV/atom. The symmetry is R-3m. Its density of states at the Fermi level is 2.6 states/eV per cell. The calculation puts the total magnetic moment at 0.0 μB/f.u. Its total DFT energy (no corrections) is -6.130 eV/atom.